(1)
{
  "formula": "Na2Tl6CdPb",
  "functional": "PBE",
  "state": "optimized geometry",
  "delta_e_f_mev_per_atom": 1,
  "sg": "P2_1/c (14)",
  "magnetic_moment_mub_per_fu": 0.00,
  "lattice_angstrom": [[8.3220, 0.0000, 0.0000], [0.0000, 8.2792, 0.0000], [-7.1652, 0.0000, 8.7051]],
  "species": ["Na", "Na", "Na", "Na", "Tl", "Tl", "Tl", "Tl", "Tl", "Tl", "Tl", "Tl", "Tl", "Tl", "Tl", "Tl", "Cd", "Cd", "Pb", "Pb"],
  "frac_coords": [[0.2409, 0.1700, 0.4370], [0.2409, 0.3300, 0.9370], [0.7591, 0.6700, 0.0630], [0.7591, 0.8300, 0.5630], [0.1013, 0.1161, 0.6474], [0.1013, 0.3839, 0.1474], [0.2467, 0.6996, 0.8177], [0.2467, 0.8004, 0.3177], [0.4843, 0.6340, 0.1980], [0.4843, 0.8660, 0.6980], [0.5157, 0.1340, 0.3020], [0.5157, 0.3660, 0.8020], [0.7533, 0.1996, 0.6823], [0.7533, 0.3004, 0.1823], [0.8987, 0.6161, 0.8526], [0.8987, 0.8839, 0.3526], [0.5000, 0.0000, 0.0000], [0.5000, 0.5000, 0.5000], [0.0000, 0.0000, 0.0000], [0.0000, 0.5000, 0.5000]]
}

(2)
{
  "formula": "NaTl3CdPb",
  "functional": "PBE",
  "state": "optimized geometry",
  "delta_e_f_mev_per_atom": -41,
  "sg": "P2_1/m (11)",
  "magnetic_moment_mub_per_fu": 0.00,
  "lattice_angstrom": [[8.0610, 0.0000, 0.0000], [0.0000, 4.7525, 0.0000], [-2.9364, 0.0000, 9.0453]],
  "species": ["Na", "Na", "Tl", "Tl", "Tl", "Tl", "Tl", "Tl", "Cd", "Cd", "Pb", "Pb"],
  "frac_coords": [[0.1616, 0.2500, 0.2910], [0.8384, 0.7500, 0.7090], [0.1734, 0.7500, 0.0420], [0.1774, 0.2500, 0.7801], [0.1864, 0.7500, 0.5341], [0.8136, 0.2500, 0.4659], [0.8226, 0.7500, 0.2199], [0.8266, 0.2500, 0.9580], [0.4941, 0.7500, 0.3861], [0.5059, 0.2500, 0.6139], [0.4935, 0.2500, 0.1277], [0.5065, 0.7500, 0.8723]]
}

(3)
{
  "formula": "Na2TlCdPb",
  "functional": "PBE",
  "state": "optimized geometry",
  "delta_e_f_mev_per_atom": -51,
  "sg": "Imm2 (44)",
  "magnetic_moment_mub_per_fu": 0.00,
  "lattice_angstrom": [[3.2608, 0.0000, 0.0000], [0.0000, 5.2071, 0.0000], [0.0000, 0.0000, 16.6696]],
  "species": ["Na", "Na", "Na", "Na", "Tl", "Tl", "Cd", "Cd", "Pb", "Pb"],
  "frac_coords": [[0.0000, 0.0000, 0.0000], [0.0000, 0.5000, 0.2987], [0.5000, 0.0000, 0.7986], [0.5000, 0.5000, 0.5000], [0.0000, 0.0000, 0.4160], [0.5000, 0.5000, 0.9160], [0.0000, 0.5000, 0.1057], [0.5000, 0.0000, 0.6057], [0.0000, 0.5000, 0.6938], [0.5000, 0.0000, 0.1938]]
}

(4)
{
  "formula": "Na2TmCdPb2",
  "functional": "PBE",
  "state": "optimized geometry",
  "delta_e_f_mev_per_atom": -217,
  "sg": "Pmc2_1 (26)",
  "magnetic_moment_mub_per_fu": 0.00,
  "lattice_angstrom": [[4.8699, 0.0000, 0.0000], [0.0000, 9.4003, 0.0000], [0.0000, 0.0000, 7.3410]],
  "species": ["Na", "Na", "Na", "Na", "Tm", "Tm", "Cd", "Cd", "Pb", "Pb", "Pb", "Pb"],
  "frac_coords": [[0.0000, 0.0481, 0.0000], [0.0000, 0.9519, 0.5000], [0.5000, 0.1690, 0.2873], [0.5000, 0.8310, 0.7873], [0.5000, 0.4727, 0.9419], [0.5000, 0.5273, 0.4419], [0.0000, 0.3108, 0.6065], [0.0000, 0.6892, 0.1065], [0.0000, 0.3782, 0.2001], [0.0000, 0.6218, 0.7001], [0.5000, 0.1710, 0.7445], [0.5000, 0.8290, 0.2445]]
}

Calculated raw total energy (eV per atom), listed in the same order as above: -2.145 -2.215 -1.977 -2.791